Arrangement P

Below is crystalline Rb2AgBr at its relaxed geometry, with properties calculated at the PBE level.

```
8
Lattice="-4.540 4.540 5.163 4.540 -4.540 5.163 4.540 4.540 -5.163" Properties=species:S:1:pos:R:3 pbc="T T T"
Rb 6.810 2.094 -1.291
Rb 2.094 2.270 1.291
Rb -2.270 2.446 3.872
Rb 2.446 2.270 6.454
Ag 4.540 0.000 2.582
Ag 0.000 0.000 5.163
Br 0.000 0.000 0.000
Br 0.000 4.540 2.582
```

***

Arrangement Q

Below is crystalline Rb2AgBr at its relaxed geometry, with properties calculated at the PBE level.

```
4
Lattice="2.453 1.416 8.841 -2.453 1.416 8.841 0.000 -2.833 8.841" Properties=species:S:1:pos:R:3 pbc="T T T"
Rb 0.000 0.000 0.000
Rb 0.000 0.000 4.240
Ag 0.000 0.000 15.373
Br 0.000 0.000 19.807
```

***

Arrangement R

Below is crystalline Rb2AgBr at its relaxed geometry, with properties calculated at the PBE level.

```
4
Lattice="0.000 4.291 4.291 4.291 0.000 4.291 4.291 4.291 0.000" Properties=species:S:1:pos:R:3 pbc="T T T"
Rb 2.145 2.145 2.145
Rb 6.436 6.436 6.436
Ag 0.000 0.000 0.000
Br 4.291 4.291 4.291
```

***

So which one is most stable? That would be arrangement Q, about 27 meV per atom below the next structure.

***

Arrangement P

Below is crystalline Rb2AgBr at its relaxed geometry, with properties calculated at the PBE level.

```
4
Lattice="4.237 0.000 0.000 0.000 4.237 0.000 0.000 0.000 8.643" Properties=species:S:1:pos:R:3 pbc="T T T"
Rb 0.000 0.000 2.055
Rb 0.000 0.000 6.587
Ag 2.119 2.119 4.321
Br 2.119 2.119 0.000
```

***

Arrangement Q

Below is crystalline Rb2AgBr at its relaxed geometry, with properties calculated at the PBE level.

```
4
Lattice="2.514 1.451 8.468 -2.514 1.451 8.468 0.000 -2.903 8.468" Properties=species:S:1:pos:R:3 pbc="T T T"
Rb 0.000 0.000 6.231
Rb 0.000 0.000 19.173
Ag 0.000 0.000 0.000
Br 0.000 0.000 12.702
```

***

So which one is most stable? That would be arrangement Q, about 15 meV per atom below the next structure.

***

Arrangement P

Below is crystalline RbAgSeBr2 at its relaxed geometry, with properties calculated at the PBE level.

```
5
Lattice="6.373 0.000 0.000 0.000 6.373 0.000 0.000 0.000 6.200" Properties=species:S:1:pos:R:3 pbc="T T T"
Rb 0.000 0.000 0.000
Ag 3.186 3.186 3.100
Se 0.000 0.000 3.100
Br 0.000 3.186 0.000
Br 3.186 0.000 0.000
```

***

Arrangement Q

Below is crystalline RbAgSeBr2 at its relaxed geometry, with properties calculated at the PBE level.

```
5
Lattice="5.618 0.000 0.000 0.000 5.618 0.000 0.000 0.000 5.129" Properties=species:S:1:pos:R:3 pbc="T T T"
Rb 0.000 0.000 0.000
Ag 2.809 2.809 2.565
Se 2.809 2.809 0.000
Br 0.000 2.809 2.565
Br 2.809 0.000 2.565
```

***

So which one is most stable? That would be arrangement Q, about 840 meV per atom below the next structure.